1.
# MnReBr2, single point on PBEsol structure, DFT SCAN
data_MnReBr2
_cell_length_a 3.1801
_cell_length_b 3.1801
_cell_length_c 6.4223
_cell_angle_alpha 90.00
_cell_angle_beta 90.00
_cell_angle_gamma 90.00
_symmetry_space_group_name_H-M 'P 1'
_symmetry_Int_Tables_number 1
loop_
_symmetry_equiv_pos_as_xyz
'x,y,z'
loop_
_atom_site_label
_atom_site_type_symbol
_atom_site_fract_x
_atom_site_fract_y
_atom_site_fract_z
Mn1 Mn 0.0000 0.0000 0.0000
Re1 Re 0.0000 0.0000 0.5000
Br1 Br 0.5000 0.5000 0.2442
Br2 Br 0.5000 0.5000 0.7558
# Excess energy over the best structure of this formula in the dataset in meV/atom: 208
# Space-group type: P4/mmm
# Formation energy from raw total energies in eV per atom: 1.116
# Raw total energy in eV per cell: -123.807

2.
# Zr5In, single point on PBEsol structure, DFT SCAN
data_Zr5In
_cell_length_a 5.1317
_cell_length_b 8.3219
_cell_length_c 8.3219
_cell_angle_alpha 21.80
_cell_angle_beta 90.00
_cell_angle_gamma 90.00
_symmetry_space_group_name_H-M 'P 1'
_symmetry_Int_Tables_number 1
loop_
_symmetry_equiv_pos_as_xyz
'x,y,z'
loop_
_atom_site_label
_atom_site_type_symbol
_atom_site_fract_x
_atom_site_fract_y
_atom_site_fract_z
Zr1 Zr 0.0000 0.0000 0.0000
Zr2 Zr 0.0000 0.3269 0.3269
Zr3 Zr 0.0000 0.6635 0.6635
Zr4 Zr 0.5000 0.1170 0.1170
Zr5 Zr 0.5000 0.4457 0.4457
In1 In 0.5000 0.7782 0.7782
# Formation enthalpy at 0 K in eV/f.u.: -0.728
# Space-group type: Amm2
# Raw total energy in eV per cell: -187.609

3.
# CrCdAu2, single point on PBEsol structure, DFT SCAN
data_CrCdAu2
_cell_length_a 5.0002
_cell_length_b 5.0002
_cell_length_c 5.0002
_cell_angle_alpha 132.03
_cell_angle_beta 132.03
_cell_angle_gamma 70.18
_symmetry_space_group_name_H-M 'P 1'
_symmetry_Int_Tables_number 1
loop_
_symmetry_equiv_pos_as_xyz
'x,y,z'
loop_
_atom_site_label
_atom_site_type_symbol
_atom_site_fract_x
_atom_site_fract_y
_atom_site_fract_z
Cr1 Cr 0.0000 0.0000 0.0000
Cd1 Cd 0.7500 0.2500 0.5000
Au1 Au 0.2500 0.7500 0.5000
Au2 Au 0.5000 0.5000 0.0000
# Formation enthalpy at 0 K in eV/f.u.: -0.757
# Space-group type: I-4m2
# Raw total energy in eV per cell: -187.870

4.
# Cs2NaTmCl6, single point on PBEsol structure, DFT SCAN
data_Cs2NaTmCl6
_cell_length_a 7.4891
_cell_length_b 7.4891
_cell_length_c 7.4891
_cell_angle_alpha 60.00
_cell_angle_beta 60.00
_cell_angle_gamma 60.00
_symmetry_space_group_name_H-M 'P 1'
_symmetry_Int_Tables_number 1
loop_
_symmetry_equiv_pos_as_xyz
'x,y,z'
loop_
_atom_site_label
_atom_site_type_symbol
_atom_site_fract_x
_atom_site_fract_y
_atom_site_fract_z
Cs1 Cs 0.2500 0.2500 0.2500
Cs2 Cs 0.7500 0.7500 0.7500
Na1 Na 0.0000 0.0000 0.0000
Tm1 Tm 0.5000 0.5000 0.5000
Cl1 Cl 0.2575 0.2575 0.7425
Cl2 Cl 0.2575 0.7425 0.2575
Cl3 Cl 0.2575 0.7425 0.7425
Cl4 Cl 0.7425 0.2575 0.2575
Cl5 Cl 0.7425 0.2575 0.7425
Cl6 Cl 0.7425 0.7425 0.2575
# Space-group type: Fm-3m
# Formation energy from raw total energies in eV per atom: -2.407
# Raw total energy in eV per cell: -203.604

Which of these has the highest raw total energy?
MnReBr2